First-principles (PBE-GGA) data for a relaxed RbGeRu3 crystal, as listed in Alexandria.

Lattice parameters (Å, degrees): 4.7914 4.7914 4.7914 90.00 90.00 90.00
With the nearest neighbours (Å) after each atom.
Space group Pm-3m (No. 221)
Unique sites:
Rb1 0.0000 0.0000 0.0000 x1  12 Ru 3.39
Ge1 0.5000 0.5000 0.5000 x1  6 Ru 2.40
Ru1 0.0000 0.5000 0.5000 x3  2 Ge 2.40

Computed properties:
Calculated formation energy: 6.304 eV per formula unit
Relative energy among the computed polymorphs: 0.000 eV per atom
V: 110.00 Å³/f.u.
Size of the total moment: 4.50 μB per formula unit
Uncorrected energy: -27.11 eV per formula unit